# Rb2SrCd2 (PBE, relaxed)
data_Rb2SrCd2
_cell_length_a 8.8417
_cell_length_b 8.8417
_cell_length_c 6.1140
_cell_angle_alpha 90.00
_cell_angle_beta 90.00
_cell_angle_gamma 90.00
_space_group_name_H-M_alt 'P 4/m b m'
_space_group_IT_number 127
_space_group_name_Hall '-P 4 2ab'
loop_
_atom_site_label
_atom_site_type_symbol
_atom_site_fract_x
_atom_site_fract_y
_atom_site_fract_z
_atom_site_occupancy
Rb1 Rb 0.1716 0.3284 0.0000 1
Sr1 Sr 0.0000 0.0000 0.5000 1
Cd1 Cd 0.1198 0.6198 0.5000 1
# Formation enthalpy at 0 K in eV/f.u.: -0.131
# Magnetization in μB per cell: 0.00
# ΔE to the lowest computed polymorph in kJ/mol of atoms: 0.0
# DOS at the Fermi energy in states/eV per atom: 0.6716